(1)
VASP calculation (GGA-PBE) on a relaxed structure of Li2Er2ZrS6.

Computed properties:
The volume is 21.47 A^3/atom. The calculation puts the uncorrected formation energy at -1.755 eV/atom.

Cell lengths 6.6341, 6.6341, 6.5215 Å; angles 99.30, 99.30, 119.64 degrees
Sites, in units of the cell vectors:
1 Li 0.1609 0.8391 0.0000
2 Li 0.8391 0.1609 0.0000
3 Er 0.3342 0.6658 0.5000
4 Er 0.6658 0.3342 0.5000
5 Zr 0.0000 0.0000 0.5000
6 S 0.0724 0.3971 0.7410
7 S 0.2391 0.2391 0.2587
8 S 0.3971 0.0724 0.7410
9 S 0.6029 0.9276 0.2590
10 S 0.7609 0.7609 0.7413
11 S 0.9276 0.6029 0.2590



(2)
VASP calculation (GGA-PBE) on a relaxed structure of YP2IO.

Computed properties:
The volume is 20.99 A^3/atom. As for the excess energy over the best structure of this formula in the dataset: 140 meV per atom. The calculation puts the uncorrected formation energy at 0.082 eV/atom.

Cell lengths 5.1012, 5.1012, 4.0335 Å; angles 90.00, 90.00, 90.00 degrees
Sites, in units of the cell vectors:
1 Y 0.0000 0.0000 0.0000
2 P 0.0000 0.5000 0.5000
3 P 0.5000 0.0000 0.5000
4 I 0.5000 0.5000 0.5000
5 O 0.5000 0.5000 0.0000



(3)
VASP calculation (GGA-PBE) on a relaxed structure of BaFeSi3.

Computed properties:
The volume is 20.09 A^3/atom. As for the excess energy over the best structure of this formula in the dataset: 0 meV per atom. The calculation puts the uncorrected formation energy at 0.042 eV/atom.

Cell lengths 4.6485, 4.6485, 4.6485 Å; angles 90.00, 90.00, 90.00 degrees
Sites, in units of the cell vectors:
1 Ba 0.0000 0.0000 0.0000
2 Fe 0.5000 0.5000 0.5000
3 Si 0.0000 0.5000 0.5000
4 Si 0.5000 0.0000 0.5000
5 Si 0.5000 0.5000 0.0000



(4)
VASP calculation (GGA-PBE) on a relaxed structure of Be2GePd2.

Computed properties:
The volume is 13.16 A^3/atom. As for the excess energy over the best structure of this formula in the dataset: 61 meV per atom. As for the formation energy: -0.27 eV/atom.

Cell lengths 3.2045, 3.2045, 12.8127 Å; angles 90.00, 90.00, 90.00 degrees
Sites, in units of the cell vectors:
1 Be 0.0000 0.5000 0.2500
2 Be 0.0000 0.5000 0.7500
3 Be 0.5000 0.0000 0.2500
4 Be 0.5000 0.0000 0.7500
5 Ge 0.0000 0.0000 0.0000
6 Ge 0.5000 0.5000 0.5000
7 Pd 0.0000 0.0000 0.3869
8 Pd 0.0000 0.0000 0.6131
9 Pd 0.5000 0.5000 0.1131
10 Pd 0.5000 0.5000 0.8869



(5)
VASP calculation (GGA-PBE) on a relaxed structure of Nd2ZnOs.

Computed properties:
The volume is 24.43 A^3/atom. As for the formation energy: -0.18 eV/atom.

Cell lengths 5.9499, 4.3149, 8.1517 Å; angles 90.00, 110.93, 90.00 degrees
Sites, in units of the cell vectors:
1 Nd 0.1877 0.2500 0.4174
2 Nd 0.2706 0.7500 0.0594
3 Nd 0.7294 0.2500 0.9406
4 Nd 0.8123 0.7500 0.5826
5 Zn 0.3639 0.7500 0.7157
6 Zn 0.6361 0.2500 0.2843
7 Os 0.1483 0.2500 0.7810
8 Os 0.8517 0.7500 0.2190



(6)
VASP calculation (GGA-PBE) on a relaxed structure of CdPd3Pt4.

Computed properties:
The volume is 20.64 A^3/atom. As for the excess energy over the best structure of this formula in the dataset: 525 meV per atom. As for the formation energy: 0.41 eV/atom.

Cell lengths 5.0669, 5.2054, 12.5214 Å; angles 90.00, 90.00, 90.00 degrees
Sites, in units of the cell vectors:
1 Cd 0.0000 0.0000 0.0000
2 Cd 0.5000 0.5000 0.5000
3 Pd 0.0000 0.2504 0.3952
4 Pd 0.0000 0.5000 0.8947
5 Pd 0.0000 0.7496 0.3952
6 Pd 0.5000 0.0000 0.3947
7 Pd 0.5000 0.2496 0.8952
8 Pd 0.5000 0.7504 0.8952
9 Pt 0.0000 0.2522 0.7210
10 Pt 0.0000 0.7478 0.7210
11 Pt 0.2469 0.5000 0.0745
12 Pt 0.2531 0.0000 0.5745
13 Pt 0.5000 0.2478 0.2210
14 Pt 0.5000 0.7522 0.2210
15 Pt 0.7469 0.0000 0.5745
16 Pt 0.7531 0.5000 0.0745



(7)
VASP calculation (GGA-PBE) on a relaxed structure of PmNd4Y2Mg.

Computed properties:
The volume is 32.90 A^3/atom. As for the formation energy: 0.01 eV/atom.

Cell lengths 5.0896, 5.0896, 10.1605 Å; angles 90.00, 90.00, 90.00 degrees
Sites, in units of the cell vectors:
1 Pm 0.0000 0.0000 0.0000
2 Nd 0.0000 0.5000 0.2554
3 Nd 0.0000 0.5000 0.7446
4 Nd 0.5000 0.0000 0.2554
5 Nd 0.5000 0.0000 0.7446
6 Y 0.0000 0.0000 0.5000
7 Y 0.5000 0.5000 0.0000
8 Mg 0.5000 0.5000 0.5000



(8)
VASP calculation (GGA-PBE) on a relaxed structure of MnZn4Pd.

Computed properties:
The volume is 14.56 A^3/atom. As for the formation energy: -0.11 eV/atom.

Cell lengths 4.9811, 4.9811, 4.9811 Å; angles 60.00, 60.00, 60.00 degrees
Sites, in units of the cell vectors:
1 Mn 0.0000 0.0000 0.0000
2 Zn 0.3751 0.3751 0.3751
3 Zn 0.3751 0.3751 0.8747
4 Zn 0.3751 0.8747 0.3751
5 Zn 0.8747 0.3751 0.3751
6 Pd 0.7500 0.7500 0.7500



(9)
VASP calculation (GGA-PBE) on a relaxed structure of Dy4RhAu2.

Computed properties:
The volume is 25.00 A^3/atom. As for the formation energy: -0.69 eV/atom.

Cell lengths 8.6367, 8.6367, 8.6367 Å; angles 33.52, 33.52, 33.52 degrees
Sites, in units of the cell vectors:
1 Dy 0.1220 0.1220 0.1220
2 Dy 0.3721 0.3721 0.3721
3 Dy 0.6279 0.6279 0.6279
4 Dy 0.8780 0.8780 0.8780
5 Rh 0.0000 0.0000 0.0000
6 Au 0.2448 0.2448 0.2448
7 Au 0.7552 0.7552 0.7552



(10)
VASP calculation (GGA-PBE) on a relaxed structure of BaScOF2.

Computed properties:
The volume is 24.29 A^3/atom. As for the excess energy over the best structure of this formula in the dataset: 1332 meV per atom. The calculation puts the uncorrected formation energy at -1.790 eV/atom.

Cell lengths 4.8533, 4.8533, 5.1567 Å; angles 90.00, 90.00, 90.00 degrees
Sites, in units of the cell vectors:
1 Ba 0.0000 0.0000 0.0000
2 Sc 0.5000 0.5000 0.5000
3 O 0.0000 0.0000 0.5000
4 F 0.0000 0.5000 0.0000
5 F 0.5000 0.0000 0.0000



(11)
VASP calculation (GGA-PBE) on a relaxed structure of PuNbH.

Computed properties:
The volume is 13.61 A^3/atom. As for the excess energy over the best structure of this formula in the dataset: 0 meV per atom.

Cell lengths 8.0811, 8.0811, 8.0811 Å; angles 24.80, 24.80, 24.80 degrees
Sites, in units of the cell vectors:
1 Pu 0.1409 0.1409 0.1409
2 Pu 0.8591 0.8591 0.8591
3 Nb 0.2893 0.2893 0.2893
4 Nb 0.7107 0.7107 0.7107
5 H 0.4133 0.4133 0.4133
6 H 0.5867 0.5867 0.5867



(12)
VASP calculation (GGA-PBE) on a relaxed structure of TlInBr2F.

Computed properties:
The volume is 30.16 A^3/atom. The calculation puts the uncorrected formation energy at -1.167 eV/atom.

Cell lengths 5.8051, 5.8051, 4.4742 Å; angles 90.00, 90.00, 90.00 degrees
Sites, in units of the cell vectors:
1 Tl 0.0000 0.0000 0.0000
2 In 0.5000 0.5000 0.5000
3 Br 0.0000 0.5000 0.5000
4 Br 0.5000 0.0000 0.5000
5 F 0.5000 0.5000 0.0000



Which magnetic moment belongs to each record? In order, 0.00; 0.00; 2.37; 0.00; 0.00; 0.00; 0.00; 4.25; 0.00; 1.00; 0.00; 0.00 μB/f.u..